Model one:
Density functional theory data (PBE) for a relaxed structure of InP2AuCl.

DOS(E_F) (states/eV/f.u.): 2.71
Total magnetization (Bohr magnetons per cell): 1.50

Cell: 5.1279 5.1279 5.0128 Å, 90.00 90.00 90.00°
With the nearest neighbours (Å) after each atom.
Sites, in units of the cell vectors:
In  0.0000  0.0000  0.0000  2 Cl 2.51, 4 P 2.56
P  0.0000  0.5000  0.0000  2 In 2.56
P  0.5000  0.0000  0.0000  2 In 2.56
Au  0.5000  0.5000  0.5000  8 P 3.59, 4 Cl 3.63
Cl  0.0000  0.0000  0.5000  2 In 2.51

***

Model two:
Density functional theory data (PBE) for a relaxed structure of InP2AuCl.

DOS(E_F) (states/eV/f.u.): 4.59
Total magnetization (Bohr magnetons per cell): 1.36

Cell: 4.7135 4.7135 6.6273 Å, 90.00 90.00 90.00°
With the nearest neighbours (Å) after each atom.
Sites, in units of the cell vectors:
In  0.0000  0.0000  0.0000  4 Cl 3.33
P  0.0000  0.5000  0.5000  2 Au 2.36
P  0.5000  0.0000  0.5000  2 Au 2.36
Au  0.5000  0.5000  0.5000  4 P 2.36
Cl  0.5000  0.5000  0.0000  2 Au 3.31, 4 In 3.33

***

model two is favored, and the nearest alternative lies 377 meV per atom above it.